Entry from Alexandria: a relaxed LiCeSn crystal (PBE).

Computed properties:
The calculation puts the energy relative to the elements at -0.18 eV/atom. The calculation puts the magnetization at 2.1 μB per cell.

a b c (Å): 4.233 4.233 8.971
angles (deg): 90.00 90.00 90.00
Space group I4mm (No. 107)
Unique sites:
Li: 0.000 0.000 0.000 (multiplicity 2)
Ce: 0.000 0.000 0.327 (multiplicity 2)
Sn: 0.000 0.000 0.680 (multiplicity 2)